14
Lattice="5.4588 -0.0421 2.0150 1.1752 5.3310 2.0150 -0.0423 -0.0337 7.9474" Properties=species:S:1:pos:R:3 comment="AcIO5 (GGA-PBE, optimized geometry)" total_magnetization_mub_per_fu=0.000 mass_density_g_cm3=6.20 crystal_system=monoclinic sg="No. 15" formation_energy_uncorrected_kj_per_mol_fu=-969 total_energy_ev_per_atom=-5.7845 pbc="T T T"
Ac 3.4710 2.4295 4.0018
Ac 3.1206 2.8257 7.9756
I 0.0000 0.0000 0.0000
I -0.0212 -0.0169 3.9737
O 5.2457 4.0863 4.0291
O 2.2744 3.8049 5.7383
O 5.1312 4.1866 8.0028
O 5.1320 0.3462 4.0018
O 2.3968 3.9025 2.2653
O 4.1949 1.3526 9.7121
O 1.4597 4.9090 7.9756
O 1.4605 1.0686 3.9746
O 4.3173 1.4502 6.2391
O 1.3460 1.1688 7.9483